VASP calculation (GGA-PBE) on crystalline TaHgIr2Rh at its relaxed geometry.

Cell and atoms, written as CIF:
```
data_TaHgIr2Rh
_chemical_formula_sum 'Ta1 Hg1 Ir2 Rh1'
_cell_length_a 4.821
_cell_length_b 4.821
_cell_length_c 4.745
_cell_angle_alpha 90.00
_cell_angle_beta 90.00
_cell_angle_gamma 90.00
_symmetry_space_group_name_H-M 'P 4/m m m'
_symmetry_Int_Tables_number 123
_symmetry_space_group_name_Hall '-P 4 2'
loop_
_atom_site_label
_atom_site_fract_x
_atom_site_fract_y
_atom_site_fract_z
Ta1 0.000 0.000 0.000
Hg1 0.500 0.500 0.500
Ir1 0.000 0.500 0.500
Rh1 0.500 0.500 0.000
```

Output
ΔH_f (0 K), eV per atom: 2.21

VASP calculation (GGA-PBE) on crystalline LiB2C2 at its relaxed geometry.

Cell and atoms, written as CIF:
```
data_LiB2C2
_chemical_formula_sum 'Li4 B8 C8'
_cell_length_a 2.718
_cell_length_b 7.181
_cell_length_c 9.373
_cell_angle_alpha 90.00
_cell_angle_beta 90.00
_cell_angle_gamma 90.00
_symmetry_space_group_name_H-M 'P m m n'
_symmetry_Int_Tables_number 59
loop_
_symmetry_equiv_pos_as_xyz
'x,y,z'
'-x,-y,-z'
'-x+1/2,-y+1/2,z'
'x+1/2,y+1/2,-z'
'x+1/2,-y,-z'
'-x+1/2,y,z'
'-x,y+1/2,-z'
'x,-y+1/2,z'
loop_
_atom_site_label
_atom_site_fract_x
_atom_site_fract_y
_atom_site_fract_z
Li1 0.250 0.001 0.139
B1 0.250 0.250 0.296
B2 0.250 0.250 0.789
B3 0.250 0.750 0.455
B4 0.250 0.750 0.957
C1 0.250 0.250 0.463
C2 0.250 0.250 0.960
C3 0.250 0.750 0.289
C4 0.250 0.750 0.788
```

Output
ΔH_f (0 K), eV per atom: -0.01

VASP calculation (GGA-PBE) on crystalline Er2ZnSb4 at its relaxed geometry.

Cell and atoms, written as CIF:
```
data_Er2ZnSb4
_chemical_formula_sum 'Er2 Zn1 Sb4'
_cell_length_a 4.319
_cell_length_b 4.319
_cell_length_c 9.801
_cell_angle_alpha 90.00
_cell_angle_beta 90.00
_cell_angle_gamma 90.00
_symmetry_space_group_name_H-M 'P -4 m 2'
_symmetry_Int_Tables_number 115
loop_
_symmetry_equiv_pos_as_xyz
'x,y,z'
'y,-x,-z'
'-x,-y,z'
'-y,x,-z'
'-x,y,z'
'-y,-x,-z'
'x,-y,z'
'y,x,-z'
loop_
_atom_site_label
_atom_site_fract_x
_atom_site_fract_y
_atom_site_fract_z
Er1 0.000 0.500 0.246
Zn1 0.000 0.000 0.500
Sb1 0.000 0.000 0.000
Sb2 0.000 0.500 0.663
Sb3 0.500 0.500 0.000
```

Output
Energy relative to the elements, uncorrected, meV/atom: -616

VASP calculation (GGA-PBE) on crystalline BaSr3Tl2 at its relaxed geometry.

Cell and atoms, written as CIF:
```
data_BaSr3Tl2
_chemical_formula_sum 'Ba1 Sr3 Tl2'
_cell_length_a 4.162
_cell_length_b 4.162
_cell_length_c 14.677
_cell_angle_alpha 90.00
_cell_angle_beta 90.00
_cell_angle_gamma 90.00
_symmetry_space_group_name_H-M 'P 4/m m m'
_symmetry_Int_Tables_number 123
_symmetry_space_group_name_Hall '-P 4 2'
loop_
_atom_site_label
_atom_site_fract_x
_atom_site_fract_y
_atom_site_fract_z
Ba1 0.000 0.000 0.000
Sr1 0.500 0.500 0.231
Sr2 0.500 0.500 0.500
Tl1 0.000 0.000 0.363
```

Output
ΔH_f (0 K), eV per atom: -0.28

VASP calculation (GGA-PBE) on crystalline Ce6PuCoSn2 at its relaxed geometry.

Cell and atoms, written as CIF:
```
data_Ce6PuCoSn2
_chemical_formula_sum 'Ce12 Pu2 Co2 Sn4'
_cell_length_a 7.204
_cell_length_b 7.204
_cell_length_c 10.204
_cell_angle_alpha 90.00
_cell_angle_beta 90.00
_cell_angle_gamma 90.00
_symmetry_space_group_name_H-M 'I 4/m m m'
_symmetry_Int_Tables_number 139
_symmetry_space_group_name_Hall '-I 4 2'
loop_
_atom_site_label
_atom_site_fract_x
_atom_site_fract_y
_atom_site_fract_z
Ce1 0.000 0.000 0.241
Ce2 0.242 0.242 0.000
Pu1 0.000 0.000 0.000
Co1 0.000 0.000 0.500
Sn1 0.000 0.500 0.250
```

Output
ΔH_f (0 K), eV per atom: -0.49

VASP calculation (GGA-PBE) on crystalline Zr2NiPt9 at its relaxed geometry.

Cell and atoms, written as CIF:
```
data_Zr2NiPt9
_chemical_formula_sum 'Zr2 Ni1 Pt9'
_cell_length_a 4.010
_cell_length_b 4.010
_cell_length_c 11.974
_cell_angle_alpha 90.00
_cell_angle_beta 90.00
_cell_angle_gamma 90.00
_symmetry_space_group_name_H-M 'P 4/m m m'
_symmetry_Int_Tables_number 123
_symmetry_space_group_name_Hall '-P 4 2'
loop_
_atom_site_label
_atom_site_fract_x
_atom_site_fract_y
_atom_site_fract_z
Zr1 0.000 0.000 0.175
Ni1 0.000 0.000 0.500
Pt1 0.000 0.500 0.000
Pt2 0.000 0.500 0.340
Pt3 0.500 0.500 0.169
Pt4 0.500 0.500 0.500
```

Output
ΔH_f (0 K), eV per atom: -0.71

VASP calculation (GGA-PBE) on crystalline SrHfMgRu2 at its relaxed geometry.

Cell and atoms, written as CIF:
```
data_SrHfMgRu2
_chemical_formula_sum 'Sr1 Hf1 Mg1 Ru2'
_cell_length_a 4.856
_cell_length_b 4.856
_cell_length_c 5.402
_cell_angle_alpha 90.00
_cell_angle_beta 90.00
_cell_angle_gamma 90.00
_symmetry_space_group_name_H-M 'P 4/m m m'
_symmetry_Int_Tables_number 123
_symmetry_space_group_name_Hall '-P 4 2'
loop_
_atom_site_label
_atom_site_fract_x
_atom_site_fract_y
_atom_site_fract_z
Sr1 0.000 0.000 0.000
Hf1 0.500 0.500 0.500
Mg1 0.500 0.500 0.000
Ru1 0.000 0.500 0.500
```

Output
ΔH_f (0 K), eV per atom: 0.69

VASP calculation (GGA-PBE) on crystalline Ba2Re at its relaxed geometry.

Cell and atoms, written as CIF:
```
data_Ba2Re
_chemical_formula_sum 'Ba8 Re4'
_cell_length_a 7.6896
_cell_length_b 7.6896
_cell_length_c 8.4516
_cell_angle_alpha 90.00
_cell_angle_beta 90.00
_cell_angle_gamma 120.00
_symmetry_space_group_name_H-M 'P 63/m m c'
_symmetry_Int_Tables_number 194
_symmetry_space_group_name_Hall '-P 6c 2c'
loop_
_atom_site_label
_atom_site_fract_x
_atom_site_fract_y
_atom_site_fract_z
Ba1 0.0000 0.0000 0.0000
Ba2 0.1883 0.3767 0.2500
Re1 0.3333 0.6667 0.6197
```

Output
ΔH_f (0 K), eV per atom: 1.43

VASP calculation (GGA-PBE) on crystalline ZrTlI2F at its relaxed geometry.

Cell and atoms, written as CIF:
```
data_ZrTlI2F
_chemical_formula_sum 'Zr1 Tl1 I2 F1'
_cell_length_a 6.168
_cell_length_b 6.168
_cell_length_c 4.137
_cell_angle_alpha 90.00
_cell_angle_beta 90.00
_cell_angle_gamma 90.00
_symmetry_space_group_name_H-M 'P 4/m m m'
_symmetry_Int_Tables_number 123
_symmetry_space_group_name_Hall '-P 4 2'
loop_
_atom_site_label
_atom_site_fract_x
_atom_site_fract_y
_atom_site_fract_z
Zr1 0.000 0.000 0.000
Tl1 0.500 0.500 0.000
I1 0.000 0.500 0.500
F1 0.000 0.000 0.500
```

Output
Energy relative to the elements, uncorrected, meV/atom: -852

VASP calculation (GGA-PBE) on crystalline Cs2PIrCl6 at its relaxed geometry.

Cell and atoms, written as CIF:
```
data_Cs2PIrCl6
_chemical_formula_sum 'Cs4 P2 Ir2 Cl12'
_cell_length_a 6.971
_cell_length_b 6.971
_cell_length_c 11.771
_cell_angle_alpha 90.00
_cell_angle_beta 90.00
_cell_angle_gamma 90.00
_symmetry_space_group_name_H-M 'I 4/m m m'
_symmetry_Int_Tables_number 139
_symmetry_space_group_name_Hall '-I 4 2'
loop_
_atom_site_label
_atom_site_fract_x
_atom_site_fract_y
_atom_site_fract_z
Cs1 0.000 0.500 0.250
P1 0.000 0.000 0.000
Ir1 0.000 0.000 0.500
Cl1 0.000 0.000 0.298
Cl2 0.249 0.249 0.500
```

Output
Energy relative to the elements, uncorrected, meV/atom: -842

VASP calculation (GGA-PBE) on crystalline ScOsPtRh2 at its relaxed geometry.

Cell and atoms, written as CIF:
```
data_ScOsPtRh2
_chemical_formula_sum 'Sc1 Os1 Pt1 Rh2'
_cell_length_a 4.670
_cell_length_b 4.670
_cell_length_c 4.893
_cell_angle_alpha 90.00
_cell_angle_beta 90.00
_cell_angle_gamma 90.00
_symmetry_space_group_name_H-M 'P 4/m m m'
_symmetry_Int_Tables_number 123
_symmetry_space_group_name_Hall '-P 4 2'
loop_
_atom_site_label
_atom_site_fract_x
_atom_site_fract_y
_atom_site_fract_z
Sc1 0.000 0.000 0.000
Os1 0.500 0.500 0.500
Pt1 0.500 0.500 0.000
Rh1 0.000 0.500 0.500
```

Output
ΔH_f (0 K), eV per atom: 0.74

VASP calculation (GGA-PBE) on crystalline CeSm9In2 at its relaxed geometry.

Cell and atoms, written as CIF:
```
data_CeSm9In2
_chemical_formula_sum 'Ce1 Sm9 In2'
_cell_length_a 4.946
_cell_length_b 4.946
_cell_length_c 15.168
_cell_angle_alpha 90.00
_cell_angle_beta 90.00
_cell_angle_gamma 90.00
_symmetry_space_group_name_H-M 'P 4/m m m'
_symmetry_Int_Tables_number 123
_symmetry_space_group_name_Hall '-P 4 2'
loop_
_atom_site_label
_atom_site_fract_x
_atom_site_fract_y
_atom_site_fract_z
Ce1 0.000 0.000 0.000
Sm1 0.000 0.500 0.172
Sm2 0.000 0.500 0.500
Sm3 0.500 0.500 0.000
Sm4 0.500 0.500 0.338
In1 0.000 0.000 0.338
```

Output
ΔH_f (0 K), eV per atom: -0.15

VASP calculation (GGA-PBE) on crystalline Li5In2Pb4 at its relaxed geometry.

Cell and atoms, written as CIF:
```
data_Li5In2Pb4
_chemical_formula_sum 'Li10 In4 Pb8'
_cell_length_a 8.220
_cell_length_b 18.588
_cell_length_c 3.300
_cell_angle_alpha 90.00
_cell_angle_beta 90.00
_cell_angle_gamma 90.00
_symmetry_space_group_name_H-M 'P b a m'
_symmetry_Int_Tables_number 55
loop_
_symmetry_equiv_pos_as_xyz
'x,y,z'
'-x,-y,-z'
'-x,-y,z'
'x,y,-z'
'x+1/2,-y+1/2,-z'
'-x+1/2,y+1/2,z'
'-x+1/2,y+1/2,-z'
'x+1/2,-y+1/2,z'
loop_
_atom_site_label
_atom_site_fract_x
_atom_site_fract_y
_atom_site_fract_z
Li1 0.000 0.000 0.000
Li2 0.110 0.432 0.000
Li3 0.202 0.202 0.000
In1 0.012 0.304 0.500
Pb1 0.111 0.857 0.500
Pb2 0.216 0.561 0.500
```

Output
ΔH_f (0 K), eV per atom: -0.23

VASP calculation (GGA-PBE) on crystalline HIBr at its relaxed geometry.

Cell and atoms, written as CIF:
```
data_HIBr
_chemical_formula_sum 'H2 I2 Br2'
_cell_length_a 5.386
_cell_length_b 5.648
_cell_length_c 9.101
_cell_angle_alpha 99.38
_cell_angle_beta 105.49
_cell_angle_gamma 90.22
_symmetry_space_group_name_H-M 'P 1'
_symmetry_Int_Tables_number 1
loop_
_symmetry_equiv_pos_as_xyz
'x,y,z'
loop_
_atom_site_label
_atom_site_fract_x
_atom_site_fract_y
_atom_site_fract_z
H1 0.000 0.000 0.000
H2 0.491 0.093 0.980
I1 0.124 0.481 0.492
I2 0.962 0.952 0.492
Br1 0.205 0.828 0.025
Br2 0.675 0.265 0.956
```

VASP calculation (GGA-PBE) on crystalline Ac2PmGa at its relaxed geometry.

Cell and atoms, written as CIF:
```
data_Ac2PmGa
_chemical_formula_sum 'Ac6 Pm3 Ga3'
_cell_length_a 3.8145
_cell_length_b 3.8145
_cell_length_c 37.7437
_cell_angle_alpha 90.00
_cell_angle_beta 90.00
_cell_angle_gamma 120.00
_symmetry_space_group_name_H-M 'R -3 m'
_symmetry_Int_Tables_number 166
_symmetry_space_group_name_Hall '-R 3 2"'
loop_
_atom_site_label
_atom_site_fract_x
_atom_site_fract_y
_atom_site_fract_z
Ac1 0.0000 0.0000 0.0861
Pm1 0.0000 0.0000 0.5000
Ga1 0.0000 0.0000 0.0000
```

Output
ΔH_f (0 K), eV per atom: 0.23

VASP calculation (GGA-PBE) on crystalline CaInIr2 at its relaxed geometry.

Cell and atoms, written as CIF:
```
data_CaInIr2
_chemical_formula_sum 'Ca1 In1 Ir2'
_cell_length_a 2.993
_cell_length_b 4.712
_cell_length_c 5.387
_cell_angle_alpha 90.00
_cell_angle_beta 102.58
_cell_angle_gamma 90.00
_symmetry_space_group_name_H-M 'P 1 m 1'
_symmetry_Int_Tables_number 6
loop_
_symmetry_equiv_pos_as_xyz
'x,y,z'
'x,-y,z'
loop_
_atom_site_label
_atom_site_fract_x
_atom_site_fract_y
_atom_site_fract_z
Ca1 0.000 0.000 0.000
In1 0.592 0.500 0.251
Ir1 0.257 0.500 0.700
Ir2 0.595 0.000 0.513
```

Output
ΔH_f (0 K), eV per atom: 0.04

VASP calculation (GGA-PBE) on crystalline Zr2AlBr at its relaxed geometry.

Cell and atoms, written as CIF:
```
data_Zr2AlBr
_chemical_formula_sum 'Zr2 Al1 Br1'
_cell_length_a 3.195
_cell_length_b 5.179
_cell_length_c 5.449
_cell_angle_alpha 90.00
_cell_angle_beta 106.68
_cell_angle_gamma 90.00
_symmetry_space_group_name_H-M 'P 1 m 1'
_symmetry_Int_Tables_number 6
loop_
_symmetry_equiv_pos_as_xyz
'x,y,z'
'x,-y,z'
loop_
_atom_site_label
_atom_site_fract_x
_atom_site_fract_y
_atom_site_fract_z
Zr1 0.000 0.000 0.000
Zr2 0.300 0.500 0.606
Al1 0.571 0.500 0.134
Br1 0.287 0.000 0.566
```

Output
Energy relative to the elements, uncorrected, meV/atom: -270

VASP calculation (GGA-PBE) on crystalline SnHg6Pb12 at its relaxed geometry.

Cell and atoms, written as CIF:
```
data_SnHg6Pb12
_chemical_formula_sum 'Sn3 Hg18 Pb36'
_cell_length_a 14.9599
_cell_length_b 14.9599
_cell_length_c 8.6291
_cell_angle_alpha 90.00
_cell_angle_beta 90.00
_cell_angle_gamma 120.00
_symmetry_space_group_name_H-M 'R -3'
_symmetry_Int_Tables_number 148
_symmetry_space_group_name_Hall '-R 3'
loop_
_atom_site_label
_atom_site_fract_x
_atom_site_fract_y
_atom_site_fract_z
Sn1 0.0000 0.0000 0.0000
Hg1 0.0197 0.1356 0.6670
Pb1 0.0367 0.2748 0.3418
Pb2 0.0713 0.5641 0.6665
```

Output
ΔH_f (0 K), eV per atom: 0.03

VASP calculation (GGA-PBE) on crystalline Ca2TaSb at its relaxed geometry.

Cell and atoms, written as CIF:
```
data_Ca2TaSb
_chemical_formula_sum 'Ca4 Ta2 Sb2'
_cell_length_a 4.657
_cell_length_b 3.995
_cell_length_c 12.198
_cell_angle_alpha 90.00
_cell_angle_beta 90.00
_cell_angle_gamma 90.00
_symmetry_space_group_name_H-M 'A m m 2'
_symmetry_Int_Tables_number 38
loop_
_symmetry_equiv_pos_as_xyz
'x,y,z'
'-x,-y,z'
'-x,y,z'
'x,-y,z'
'x,y+1/2,z+1/2'
'-x,-y+1/2,z+1/2'
'-x,y+1/2,z+1/2'
'x,-y+1/2,z+1/2'
loop_
_atom_site_label
_atom_site_fract_x
_atom_site_fract_y
_atom_site_fract_z
Ca1 0.000 0.000 0.000
Ca2 0.500 0.000 0.312
Ta1 0.000 0.000 0.718
Sb1 0.500 0.000 0.595
```

Output
Energy relative to the elements, uncorrected, meV/atom: 141

VASP calculation (GGA-PBE) on crystalline PrNd6Mg at its relaxed geometry.

Cell and atoms, written as CIF:
```
data_PrNd6Mg
_chemical_formula_sum 'Pr3 Nd18 Mg3'
_cell_length_a 9.8085
_cell_length_b 9.8085
_cell_length_c 9.8228
_cell_angle_alpha 90.00
_cell_angle_beta 90.00
_cell_angle_gamma 120.00
_symmetry_space_group_name_H-M 'R -3'
_symmetry_Int_Tables_number 148
_symmetry_space_group_name_Hall '-R 3'
loop_
_atom_site_label
_atom_site_fract_x
_atom_site_fract_y
_atom_site_fract_z
Pr1 0.0000 0.0000 0.0000
Nd1 0.0218 0.2711 0.7137
Mg1 0.0000 0.0000 0.5000
```

Output
ΔH_f (0 K), eV per atom: 0.09

no.,DOS(E_F) (states/eV/f.u.),total energy (eV/atom)
1,4.15,-5.2343
2,0.99,-6.7532
3,2.43,-4.4569
4,8.22,-2.2278
5,14.90,-6.9933
6,13.54,-7.1440
7,3.91,-5.6648
8,5.15,-4.0025
9,3.30,-4.0293
10,2.83,-3.5476
11,5.68,-6.9219
12,17.55,-4.6385
13,2.67,-2.9452
14,0.18,-2.3320
15,5.06,-3.7686
16,3.30,-5.5801
17,1.85,-5.8978
18,8.43,-2.6194
19,3.33,-4.8534
20,11.91,-4.2822